Material: KMgIn2Fe
Method: DFT, GGA-PBE
State: relaxed

As for the total moment: 0.1 μB/f.u. The density of states at the Fermi level comes out at 5.837 states/eV per cell. The value obtained for the energy is -1.624 eV per atom.

It has space group P4/mmm (No. 123), with a = 5.366 Å, b = 5.366 Å, c = 4.363 Å, α = 90.00°, β = 90.00° and γ = 90.00°. Symmetry generates all atoms from K at (0.000, 0.000, 0.000), Mg at (0.500, 0.500, 0.500), In at (0.000, 0.500, 0.000) and Fe at (0.000, 0.000, 0.500).